Record 1
Material: YAs
Method: DFT, GGA-PBE
State: optimized geometry

extended XYZ file:
```
4
Lattice="1.955 -5.693 0.000 1.955 5.693 0.000 0.000 0.000 4.329" Properties=species:S:1:pos:R:3 pbc="T T T"
Y 1.955 4.240 3.247
Y 1.955 -4.240 1.082
As 1.955 1.346 3.247
As 1.955 -1.346 1.082
```

Properties
Electronic total energy: -6.889 eV/atom


Record 2
Material: Ti3V2Mo4
Method: DFT, GGA-PBE
State: optimized geometry

extended XYZ file:
```
18
Lattice="5.919 -4.773 0.000 5.919 4.773 0.000 -0.995 0.000 5.025" Properties=species:S:1:pos:R:3 pbc="T T T"
Ti 5.173 4.757 3.769
Ti 3.765 0.671 4.813
Ti 4.263 -0.671 2.300
Ti 6.580 0.671 2.725
Ti 7.078 -0.671 0.212
Ti 5.670 -4.757 1.256
V 1.990 0.890 2.869
V 2.487 -0.890 0.357
V 8.356 0.890 4.669
V 8.854 -0.890 2.156
Mo 1.968 1.631 0.407
Mo 4.566 2.199 2.330
Mo 1.470 -1.631 2.920
Mo 6.775 2.199 0.183
Mo 4.069 -2.199 4.843
Mo 9.373 1.631 2.106
Mo 6.277 -2.199 2.696
Mo 8.876 -1.631 4.619
```

Properties
Electronic total energy: -9.404 eV/atom


Record 3
Material: AcPr3Y
Method: DFT, GGA-PBE
State: optimized geometry

extended XYZ file:
```
10
Lattice="3.080 -4.727 0.000 3.080 4.727 0.000 0.000 0.000 13.309" Properties=species:S:1:pos:R:3 pbc="T T T"
Ac 0.000 0.000 0.000
Ac 0.000 0.000 6.654
Pr 3.080 4.174 9.981
Pr 3.080 1.176 8.230
Pr 3.080 1.176 11.733
Pr 3.080 -1.176 1.575
Pr 3.080 -1.176 5.079
Pr 3.080 -4.174 3.327
Y 3.080 2.056 3.327
Y 3.080 -2.056 9.981
```

Properties
Electronic total energy: -4.738 eV/atom


Record 4
Material: PaMnHgS4
Method: DFT, GGA-PBE
State: optimized geometry

extended XYZ file:
```
14
Lattice="6.594 0.000 0.000 0.000 5.924 0.000 -1.080 0.000 10.324" Properties=species:S:1:pos:R:3 pbc="T T T"
Pa 0.964 1.481 4.662
Pa 4.551 4.443 5.662
Mn 1.398 4.443 6.747
Mn 4.117 1.481 3.578
Hg -1.037 1.481 10.316
Hg 6.552 4.443 0.008
S -0.148 0.104 6.863
S -0.148 2.858 6.863
S 2.204 1.481 2.414
S 2.067 4.443 4.556
S 3.447 1.481 5.768
S 3.311 4.443 7.910
S 5.663 3.066 3.461
S 5.663 5.820 3.461
```

Properties
Electronic total energy: -5.943 eV/atom
Formation energy (no corrections): -875 meV/atom


Record 5
Material: SmTcN2
Method: DFT, GGA-PBE
State: optimized geometry

extended XYZ file:
```
4
Lattice="1.815 1.048 6.026 -1.815 1.048 6.026 0.000 -2.096 6.026" Properties=species:S:1:pos:R:3 pbc="T T T"
Sm 0.000 0.000 0.000
Tc 0.000 0.000 9.039
N 0.000 0.000 7.203
N 0.000 0.000 10.875
```

Properties
Electronic total energy: -8.230 eV/atom
Formation energy (no corrections): -296 meV/atom


Record 6
Material: Na3CaI
Method: DFT, GGA-PBE
State: optimized geometry

extended XYZ file:
```
5
Lattice="6.115 0.000 0.000 0.000 6.115 0.000 0.000 0.000 6.115" Properties=species:S:1:pos:R:3 pbc="T T T"
Na 0.000 0.000 3.058
Na 0.000 3.058 0.000
Na 3.058 0.000 0.000
Ca 3.058 3.058 3.058
I 0.000 0.000 0.000
```

Properties
Electronic total energy: -1.673 eV/atom
Formation energy (no corrections): -171 meV/atom


Record 7
Material: ZrTlW
Method: DFT, GGA-PBE
State: optimized geometry

extended XYZ file:
```
3
Lattice="-1.784 1.784 4.805 1.784 -1.784 4.805 1.784 1.784 -4.805" Properties=species:S:1:pos:R:3 pbc="T T T"
Zr 0.000 0.000 0.000
Tl 0.000 0.000 6.581
W 0.000 0.000 3.420
```

Properties
Electronic total energy: -7.546 eV/atom


Record 8
Material: PmFeIr
Method: DFT, GGA-PBE
State: optimized geometry

extended XYZ file:
```
6
Lattice="-2.568 2.816 3.731 2.568 -2.816 3.731 2.568 2.816 -3.731" Properties=species:S:1:pos:R:3 pbc="T T T"
Pm 0.000 1.408 0.924
Pm 2.568 1.408 2.807
Fe 1.284 1.408 -1.865
Fe 1.284 -1.408 1.865
Ir 2.568 0.000 0.000
Ir 0.000 0.000 3.731
```

Properties
Electronic total energy: -7.780 eV/atom